# AlHgSb (PBE-GGA, relaxed)
# Calculated volume: 26.0 Å³/atom
# Energy relative to the lowest polymorph listed for this composition: 24 meV/atom
# Space group: No. 156
# Formation energy (no corrections): 0.09 eV per atom
data_AlHgSb
_chemical_formula_sum 'Al1 Hg1 Sb1'
_symmetry_space_group_name_H-M 'P 1'
_symmetry_Int_Tables_number 1
_symmetry_space_group_name_Hall 'P 1'
_cell_length_a 4.1888
_cell_length_b 4.1888
_cell_length_c 5.1368
_cell_angle_alpha 90.00
_cell_angle_beta 90.00
_cell_angle_gamma 120.00
loop_
_atom_site_label
_atom_site_fract_x
_atom_site_fract_y
_atom_site_fract_z
_atom_site_occupancy
Al1 0.0000 0.0000 0.0000 1
Hg1 0.6667 0.3333 0.3394 1
Sb1 0.3333 0.6667 0.7578 1